The following is a meta-GGA SCAN calculation of BaMo3Os at its PBEsol-relaxed geometry, from the Alexandria database.

abc: 4.761 4.761 4.761
angles: 90.00 90.00 90.00
Fractional coordinates of all 5 atoms:
1 Ba 0.000 0.000 0.000
2 Mo 0.000 0.000 0.500
3 Mo 0.000 0.500 0.000
4 Mo 0.500 0.000 0.000
5 Os 0.500 0.500 0.500

Its density is 9.467 g/cm³. As for the space group: Pm-3m (221). As for the total magnetization: 0.9 μB per cell. As for the uncorrected energy: -39.40 eV per atom.